Cs2InCuF6: optimized geometry, PBE.

Output
final energy	-42.16	eV/cell
SG	No. 166

Geometry as POSCAR:
```
Cs2InCuF6
1.0
3.0182 1.7426 4.9465
-3.0182 1.7426 4.9465
0.0000 -3.4851 4.9465
Cs In Cu F
2 1 1 6
direct
0.2504 0.2504 0.2504 Cs
0.7496 0.7496 0.7496 Cs
0.5000 0.5000 0.5000 In
0.0000 0.0000 0.0000 Cu
0.2523 0.7469 0.7469 F
0.2531 0.2531 0.7477 F
0.2531 0.7477 0.2531 F
0.7469 0.2523 0.7469 F
0.7469 0.7469 0.2523 F
0.7477 0.2531 0.2531 F
```